Here is a relaxed structure of FeAgI5 from Alexandria via LeMat-Bulk. Energies are from GGA-PBE.

Values from the calculation:
Mass density, Mg/m³: 4.30
ΔE_f (raw), eV per formula unit: -0.84
Fermi-level density of states, states/eV per cell: 6.50
Symmetry: P-1

Unit cell a=8.222 b=8.234 c=9.903 alpha=104.77 beta=104.65 gamma=96.06
Sites, in units of the cell vectors:
Fe  0.184  0.317  0.250
Fe  0.816  0.683  0.750
Ag  0.500  0.000  0.000
Ag  0.500  0.000  0.500
I  0.100  0.743  0.940
I  0.176  0.074  0.369
I  0.241  0.603  0.438
I  0.394  0.107  0.750
I  0.430  0.325  0.134
I  0.570  0.675  0.866
I  0.606  0.893  0.250
I  0.759  0.397  0.562
I  0.824  0.926  0.631
I  0.900  0.257  0.060